This record from Alexandria describes crystalline NaLi2Te2 at its relaxed geometry. The functional is PBE. Values from VASP.

Calculated values
The calculation puts the magnetization at 0.00 μB/f.u. For the relative energy among the computed polymorphs, the calculation gives 0.068 eV per atom. As for the density of states at the Fermi level: 2.907 states/eV/cell. Its crystal system is tetragonal. The uncorrected formation energy comes out at -766 meV per atom.

```
&SYSTEM
  ibrav = 0, nat = 5, ntyp = 3
/
ATOMIC_SPECIES
Na 22.99 Na.upf
Te 127.60 Te.upf
Li 6.94 Li.upf
CELL_PARAMETERS angstrom
-2.972 -0.495 3.436
0.154 -4.538 -0.520
3.409 -2.826 5.580
ATOMIC_POSITIONS angstrom
Na 0.000 0.000 0.000
Te -0.172 -2.596 2.516
Te 0.763 -5.263 5.979
Li -0.486 -2.918 5.237
Li 1.077 -4.940 3.259
```